No. 1
A plane-wave DFT calculation with GGA-PBE was carried out for a relaxed structure of KSr2W.

a b c (Å): 8.8478 8.8478 12.4372
angles (deg): 90.00 90.00 90.00
Closest atoms and distances in Å follow each position.
Positions (direct):
1 K 0.0000 0.0000 0.0000  12 Sr 5.15-5.22, 4 W 5.41, 4 K 5.41
2 K 0.0000 0.5000 0.2500  12 Sr 5.15-5.22, 4 W 5.41, 4 K 5.41
3 K 0.5000 0.0000 0.7500  12 Sr 5.15-5.22, 4 W 5.41, 4 K 5.41
4 K 0.5000 0.5000 0.5000  12 Sr 5.15-5.22, 4 W 5.41, 4 K 5.41
5 Sr 0.0042 0.7500 0.6250  2 W 2.70
6 Sr 0.2500 0.0042 0.3750  2 W 2.70
7 Sr 0.2500 0.4958 0.8750  2 W 2.70
8 Sr 0.4958 0.7500 0.1250  2 W 2.70
9 Sr 0.5042 0.2500 0.1250  2 W 2.70
10 Sr 0.7500 0.5042 0.8750  2 W 2.70
11 Sr 0.7500 0.9958 0.3750  2 W 2.70
12 Sr 0.9958 0.2500 0.6250  2 W 2.70
13 W 0.0000 0.0000 0.5000  4 Sr 2.70
14 W 0.0000 0.5000 0.7500  4 Sr 2.70
15 W 0.5000 0.0000 0.2500  4 Sr 2.70
16 W 0.5000 0.5000 0.0000  4 Sr 2.70

Output
- space-group type = I-42d (122)
- energy above the lowest structure with this stoichiometry (meV/atom) = 765
- ΔH_f (0 K) (meV/atom) = 1742.6
- energy (eV/atom) = -2.611
- total magnetization (Bohr magnetons per cell) = 6.016



No. 2
A plane-wave DFT calculation with GGA-PBE was carried out for a relaxed structure of BiOs3Se.

a b c (Å): 5.0320 5.0320 5.0320
angles (deg): 90.00 90.00 90.00
Closest atoms and distances in Å follow each position.
Positions (direct):
1 Bi 0.0000 0.0000 0.0000  6 Os 2.52
2 Os 0.0000 0.0000 0.5000  2 Bi 2.52
3 Os 0.0000 0.5000 0.0000  2 Bi 2.52
4 Os 0.5000 0.0000 0.0000  2 Bi 2.52
5 Se 0.5000 0.5000 0.5000  12 Os 3.56

Output
- space-group type = Pm-3m (221)
- energy above the lowest structure with this stoichiometry (meV/atom) = 1478
- raw formation energy (meV per atom) = 3097.3
- energy (eV/atom) = -5.114
- total magnetization (Bohr magnetons per cell) = 5.013



No. 3
A plane-wave DFT calculation with GGA-PBE was carried out for a relaxed structure of K2P4Pd5.

a b c (Å): 8.5120 6.7911 6.7250
angles (deg): 78.06 51.31 50.62
Closest atoms and distances in Å follow each position.
Positions (direct):
1 K 0.1457 0.8543 0.1457  6 P 3.34-3.62, 1 K 3.49, 6 Pd 3.53-3.62
2 K 0.8543 0.1457 0.8543  6 P 3.34-3.62, 1 K 3.49, 6 Pd 3.53-3.62
3 P 0.2190 0.4682 0.5318  5 Pd 2.41-2.43
4 P 0.4682 0.2190 0.7810  5 Pd 2.41-2.43
5 P 0.5318 0.7810 0.2190  5 Pd 2.41-2.43
6 P 0.7810 0.5318 0.4682  5 Pd 2.41-2.43
7 Pd 0.0000 0.5000 0.0000  4 P 2.42
8 Pd 0.2500 0.2500 0.2500  4 P 2.43
9 Pd 0.5000 0.0000 0.5000  4 P 2.42
10 Pd 0.5000 0.5000 0.5000  4 P 2.41
11 Pd 0.7500 0.7500 0.7500  4 P 2.43

Output
- space-group type = Fmmm (69)
- ΔH_f (0 K) (meV/atom) = -466.8
- energy (eV/atom) = -4.994
- total magnetization (Bohr magnetons per cell) = 0.000



No. 4
A plane-wave DFT calculation with GGA-PBE was carried out for a relaxed structure of LiLuNiBi.

a b c (Å): 6.6902 6.6902 6.6902
angles (deg): 90.00 90.00 90.00
Closest atoms and distances in Å follow each position.
Positions (direct):
1 Li 0.0000 0.0000 0.0000  4 Bi 2.90, 4 Lu 2.90
2 Li 0.0000 0.5000 0.5000  4 Bi 2.90, 4 Lu 2.90
3 Li 0.5000 0.0000 0.5000  4 Bi 2.90, 4 Lu 2.90
4 Li 0.5000 0.5000 0.0000  4 Bi 2.90, 4 Lu 2.90
5 Lu 0.2500 0.2500 0.7500  4 Li 2.90, 4 Ni 2.90
6 Lu 0.2500 0.7500 0.2500  4 Li 2.90, 4 Ni 2.90
7 Lu 0.7500 0.2500 0.2500  4 Li 2.90, 4 Ni 2.90
8 Lu 0.7500 0.7500 0.7500  4 Ni 2.90, 4 Li 2.90
9 Ni 0.0000 0.0000 0.5000  4 Lu 2.90, 4 Bi 2.90
10 Ni 0.0000 0.5000 0.0000  4 Lu 2.90, 4 Bi 2.90
11 Ni 0.5000 0.0000 0.0000  4 Lu 2.90, 4 Bi 2.90
12 Ni 0.5000 0.5000 0.5000  4 Lu 2.90, 4 Bi 2.90
13 Bi 0.2500 0.2500 0.2500  4 Li 2.90, 4 Ni 2.90
14 Bi 0.2500 0.7500 0.7500  4 Li 2.90, 4 Ni 2.90
15 Bi 0.7500 0.2500 0.7500  4 Li 2.90, 4 Ni 2.90
16 Bi 0.7500 0.7500 0.2500  4 Li 2.90, 4 Ni 2.90

Output
- space-group type = F-43m (216)
- ΔH_f (0 K) (meV/atom) = -301.1
- energy (eV/atom) = -4.325
- total magnetization (Bohr magnetons per cell) = 0.000



No. 5
A plane-wave DFT calculation with GGA-PBE was carried out for a relaxed structure of ScTiNb3.

a b c (Å): 4.7554 4.7554 4.7554
angles (deg): 90.00 90.00 90.00
Closest atoms and distances in Å follow each position.
Positions (direct):
1 Sc 0.0000 0.0000 0.0000  12 Nb 3.36
2 Ti 0.5000 0.5000 0.5000  6 Nb 2.38
3 Nb 0.0000 0.5000 0.5000  2 Ti 2.38
4 Nb 0.5000 0.0000 0.5000  2 Ti 2.38
5 Nb 0.5000 0.5000 0.0000  2 Ti 2.38

Output
- space-group type = Pm-3m (221)
- energy above the lowest structure with this stoichiometry (meV/atom) = 0
- ΔH_f (0 K) (meV/atom) = 911.3
- energy (eV/atom) = -7.976
- total magnetization (Bohr magnetons per cell) = 0.000



No. 6
A plane-wave DFT calculation with GGA-PBE was carried out for a relaxed structure of Sm2Er7Th2.

a b c (Å): 7.9621 7.9621 6.0950
angles (deg): 106.18 106.18 91.95
Closest atoms and distances in Å follow each position.
Positions (direct):
1 Sm 0.2127 0.7873 0.0000  6 Er 3.29-3.51
2 Sm 0.7873 0.2127 0.0000  6 Er 3.29-3.51
3 Er 0.0000 0.0000 0.5000  6 Er 3.26-3.46
4 Er 0.0669 0.5891 0.3293  5 Er 3.20-3.56, 2 Sm 3.29-3.42
5 Er 0.2419 0.2419 0.0777  5 Er 3.32-3.56, 3 Th 3.43-3.55, 2 Sm 3.51
6 Er 0.4108 0.9331 0.6707  5 Er 3.20-3.56, 2 Sm 3.29-3.42
7 Er 0.5891 0.0669 0.3293  5 Er 3.20-3.56, 2 Sm 3.29-3.42
8 Er 0.7581 0.7581 0.9223  5 Er 3.32-3.56, 3 Th 3.43-3.55, 2 Sm 3.51
9 Er 0.9331 0.4108 0.6707  5 Er 3.20-3.56, 2 Sm 3.29-3.42
10 Th 0.4091 0.4091 0.6882  7 Er 3.43-3.76, 2 Th 3.52-3.61, 2 Sm 3.73
11 Th 0.5909 0.5909 0.3118  7 Er 3.43-3.76, 2 Th 3.52-3.61, 2 Sm 3.73

Output
- space-group type = C2/m (12)
- energy above the lowest structure with this stoichiometry (meV/atom) = 0
- ΔH_f (0 K) (meV/atom) = 182.2
- energy (eV/atom) = -4.928
- total magnetization (Bohr magnetons per cell) = 0.000